# 1
Material: ScCr2Au
Method: DFT, PBEsol
State: relaxed

Properties
E in eV per cell: -30.12
Space-group type: P4/mmm
Magnetic moment in μB/atom: 1.40

CIF file:
```
data_ScCr2Au
_chemical_formula_sum 'Sc1 Cr2 Au1'
_cell_length_a 3.9889
_cell_length_b 3.9889
_cell_length_c 3.9280
_cell_angle_alpha 90.00
_cell_angle_beta 90.00
_cell_angle_gamma 90.00
_symmetry_space_group_name_H-M 'P 1'
_symmetry_Int_Tables_number 1
loop_
_symmetry_equiv_pos_as_xyz
'x,y,z'
loop_
_atom_site_label
_atom_site_type_symbol
_atom_site_fract_x
_atom_site_fract_y
_atom_site_fract_z
Sc1 Sc 0.0000 0.0000 0.0000
Cr1 Cr 0.0000 0.5000 0.5000
Cr2 Cr 0.5000 0.0000 0.5000
Au1 Au 0.5000 0.5000 0.0000
```



# 2
Material: Mg2ZnIn
Method: DFT, PBEsol
State: relaxed

Properties
E in eV per cell: -8.21
Space-group type: Cmmm
Magnetic moment in μB/atom: 0.00

CIF file:
```
data_Mg2ZnIn
_chemical_formula_sum 'Mg2 Zn1 In1'
_cell_length_a 5.1640
_cell_length_b 5.1640
_cell_length_c 3.1514
_cell_angle_alpha 90.00
_cell_angle_beta 90.00
_cell_angle_gamma 107.32
_symmetry_space_group_name_H-M 'P 1'
_symmetry_Int_Tables_number 1
loop_
_symmetry_equiv_pos_as_xyz
'x,y,z'
loop_
_atom_site_label
_atom_site_type_symbol
_atom_site_fract_x
_atom_site_fract_y
_atom_site_fract_z
Mg1 Mg 0.0000 0.5000 0.0000
Mg2 Mg 0.5000 0.0000 0.0000
Zn1 Zn 0.0000 0.0000 0.5000
In1 In 0.5000 0.5000 0.5000
```



The calculation returns the following energy of formation values, one per record and in order: 222 -53 meV per atom.